Compound: DyHgMo2O8
Source: Alexandria via LeMat-Bulk
Functional: GGA+U
Structure: optimized geometry

Properties
* density: 4.94 g/cm³
* final energy: -80.47 eV per cell
* magnetization: 1.00 μB per formula unit

Cell: 6.1153 6.1153 7.0916 Å, 90.00 90.00 120.00°
Closest atoms and distances in Å follow each position.
Positions (direct):
Dy 0.0000 0.0000 0.0000  6 O 2.26
Hg 0.0000 0.0000 0.5000  6 O 2.83
Mo 0.3333 0.6667 0.7254  4 O 1.74-1.82
Mo 0.6667 0.3333 0.2746  4 O 1.74-1.82
O 0.1705 0.3410 0.8079  1 Mo 1.82
O 0.1705 0.8295 0.8079  1 Mo 1.82
O 0.3333 0.6667 0.4803  1 Mo 1.74
O 0.3410 0.1705 0.1921  1 Mo 1.82
O 0.6590 0.8295 0.8079  1 Mo 1.82
O 0.6667 0.3333 0.5197  1 Mo 1.74
O 0.8295 0.1705 0.1921  1 Mo 1.82
O 0.8295 0.6590 0.1921  1 Mo 1.82